First-principles (GGA-PBE) data for a relaxed TeIr2Pt crystal, as listed in Alexandria.

Results
Formation energy from raw total energies, meV/atom: 580
VASP energy, eV/atom: -6.146

The structure in POSCAR format:
```
TeIr2Pt
1.0
2.837 0.000 0.000
0.000 5.047 0.000
0.000 0.000 9.739
Te Ir Pt
2 4 2
Direct
0.000 0.000 0.000 Te
0.500 0.500 0.000 Te
0.000 0.000 0.487 Ir
0.000 0.500 0.258 Ir
0.500 0.000 0.258 Ir
0.500 0.500 0.487 Ir
0.000 0.500 0.727 Pt
0.500 0.000 0.727 Pt
```